ZrBe2 | SCAN | single point on PBEsol structure

Cell: 3.4360 5.0635 5.4749 Å, 117.54 108.29 90.00°
Fractional coordinates of all 6 atoms:
Be 0.0000 0.7158 0.0000
Be 0.3929 0.3929 0.7857
Be 0.6071 0.6071 0.2143
Be 0.0000 0.2842 0.0000
Zr 0.6823 0.1823 0.3646
Zr 0.3177 0.8177 0.6354

formation energy	-109	meV/atom
SG	Immm, No. 71